[1]
Compound: BaMoRh4
Source: the Alexandria database
Functional: PBE-GGA
Structure: relaxed

Calculated values
Its formation energy from the elements is 0.40 eV/atom. The density is 9.863 g/cm3. The value obtained for the raw total energy is -6.62 eV per atom. Its magnetization is 0.277 μB per atom.

a = 5.355 Å, b = 5.355 Å, c = 5.355 Å
α = 60.00°, β = 60.00°, γ = 60.00°
Positions (direct):
Rh (0.374, 0.374, 0.878)
Rh (0.878, 0.374, 0.374)
Rh (0.374, 0.878, 0.374)
Rh (0.374, 0.374, 0.374)
Ba (0.750, 0.750, 0.750)
Mo (0.000, 0.000, 0.000)

[2]
Compound: HRhW2
Source: the Alexandria database
Functional: PBE-GGA
Structure: relaxed

Calculated values
The density is 15.209 g/cm3. The value obtained for the raw total energy is -8.59 eV per atom. The offset from the most stable computed form comes out at 255 meV/atom. Its magnetization is 0.000 μB per atom.

a = 2.809 Å, b = 2.809 Å, c = 7.705 Å
α = 79.50°, β = 79.50°, γ = 60.00°
Positions (direct):
Rh (0.000, 0.000, 0.000)
W (0.111, 0.111, 0.667)
W (0.889, 0.889, 0.333)
H (0.500, 0.500, 0.500)

[3]
Compound: HgPW2
Source: the Alexandria database
Functional: PBE-GGA
Structure: relaxed

Calculated values
Its formation energy from the elements is 0.57 eV/atom. The density is 12.636 g/cm3. The value obtained for the raw total energy is -7.34 eV per atom. The offset from the most stable computed form comes out at 262 meV/atom. Its magnetization is 0.000 μB per atom.

a = 4.485 Å, b = 4.485 Å, c = 6.108 Å
α = 79.39°, β = 79.39°, γ = 40.82°
Positions (direct):
P (0.280, 0.280, 0.127)
W (0.734, 0.734, 0.827)
W (0.013, 0.013, 0.043)
Hg (0.473, 0.473, 0.504)

Q: Which of these has the lowest density?
A: BaMoRh4

Q: What is the raw total energy in the third record?
A: -7.34 eV per atom

Q: raw total energy of number 2 (HRhW2)?
A: -8.59 eV per atom